Entry from the Alexandria database: a geometry-optimized Pm7Y2Er structure (GGA-PBE).

a b c (Å): 10.345 10.345 3.526
angles (deg): 90.00 90.00 108.76
Element x y z (fractional)
Pm 0.000 0.000 0.000
Pm 0.116 0.373 0.000
Pm 0.176 0.824 0.500
Pm 0.373 0.116 0.000
Pm 0.627 0.884 0.000
Pm 0.824 0.176 0.500
Pm 0.884 0.627 0.000
Y 0.332 0.668 0.000
Y 0.668 0.332 0.000
Er 0.500 0.500 0.500

Output
Total magnetic moment: 0.0 μB/cell
Final energy: -4.674 eV/atom
Formation energy from the elements: 0.4008 eV per atom
Space group: Cmmm, No. 65
Polymorph energy (0 for the lowest one): 0.0 kJ per mole of atoms